(1)
LaTe2IrI: optimized geometry, PBE.

Geometry as extended XYZ:
```
5
Lattice="6.192 0.000 0.000 0.000 6.192 0.000 0.000 0.000 6.143" Properties=species:S:1:pos:R:3 pbc="T T T"
Te 3.096 0.000 0.000
Te 0.000 3.096 0.000
Ir 3.096 3.096 3.071
I 0.000 0.000 3.071
La 0.000 0.000 0.000
```

Computed properties:
The magnetization comes out at 3.44 Bohr magnetons per cell. The density of states at the Fermi level is 2.568 states/eV per atom. The energy relative to the lowest polymorph listed for this composition comes out at 1168 meV per atom. The symmetry is No. 123.

***

(2)
Sm3Tl5S12: optimized geometry, PBE.

Geometry as extended XYZ:
```
80
Lattice="13.933 0.000 0.000 -4.644 13.136 0.000 -4.644 -6.568 11.377" Properties=species:S:1:pos:R:3 pbc="T T T"
Tl 1.161 4.105 9.954
Tl -1.161 3.284 2.844
Tl 5.806 3.284 8.532
Tl 5.806 5.747 4.266
Tl -2.322 -3.284 5.688
Tl -2.322 6.568 0.000
Tl 3.483 9.852 2.844
Tl 4.644 6.568 0.000
Tl 8.128 -0.821 7.110
Tl -4.644 3.284 5.688
Tl 5.806 -4.105 9.954
Tl -1.161 10.673 1.422
Tl 2.322 3.284 5.688
Tl 0.000 0.000 0.000
Tl -1.161 0.821 7.110
Tl -3.483 7.389 4.266
Tl 6.967 0.000 0.000
Tl 1.161 -3.284 8.532
Tl 4.644 -3.284 5.688
Tl 3.483 2.463 1.422
S 7.594 -0.821 2.502
S -1.339 -3.602 8.190
S 7.068 11.686 0.540
S -4.746 9.594 4.162
S 6.509 6.562 1.962
S 1.865 -1.696 10.390
S 3.306 5.610 4.713
S 5.628 -0.959 6.664
S -1.339 4.561 9.850
S 1.865 1.702 10.401
S -1.865 0.006 9.414
S -4.017 5.861 6.228
S -2.950 7.390 8.875
S 5.983 10.170 3.186
S 5.272 5.747 8.875
S 4.017 -1.528 3.726
S 4.543 2.091 6.675
S -1.695 -0.707 5.149
S -0.984 7.527 4.713
S 2.780 4.866 0.976
S 2.221 8.660 4.702
S 0.628 8.096 7.650
S 2.780 8.264 0.987
S 5.983 2.008 1.526
S -5.102 -0.006 9.414
S 1.339 0.959 6.664
S 9.187 1.451 0.540
S 10.272 2.966 3.186
S -5.628 3.602 8.190
S -2.424 3.026 7.214
S 1.695 5.040 7.650
S -2.424 -5.117 10.837
S 9.390 -3.026 7.214
S 5.102 -1.702 10.401
S -0.628 0.821 2.502
S -3.661 11.129 1.526
S -0.457 4.872 0.987
S 6.339 7.275 6.228
S -4.543 5.117 10.837
S 7.068 3.542 4.162
S 8.305 -4.561 9.850
S 9.746 6.575 1.962
S 2.424 -2.091 6.675
S 2.950 1.528 3.726
S -0.457 8.271 0.976
S 5.102 1.696 10.390
S 8.661 0.707 5.149
S 0.102 4.477 4.702
Sm 8.128 4.105 1.422
Sm 5.806 0.821 4.266
Sm 1.161 -0.821 4.266
Sm -3.483 2.463 9.954
Sm 3.483 0.000 8.532
Sm -5.806 6.568 8.532
Sm 8.128 9.031 1.422
Sm -1.161 5.747 7.110
Sm 3.483 7.389 7.110
Sm -3.483 -2.463 9.954
Sm 10.450 0.000 2.844
Sm 1.161 6.568 2.844
```

Computed properties:
The magnetization comes out at 0.00 Bohr magnetons per cell. The density of states at the Fermi level is 0.279 states/eV per atom. The symmetry is No. 230.

***

Number 1: formation energy without anion corrections 78.1 kJ/mol of atoms. Number 2: formation energy without anion corrections -73.5 kJ/mol of atoms.